1.
Ce3Al5Se12 (PBE, relaxed); density of states at the Fermi level = 1.10 states/eV/atom; energy = -5.118 eV per atom; formation energy (no corrections) = -1201 meV/atom
1.0
13.808 0.000 0.000
-4.603 13.018 0.000
-4.603 -6.509 11.274
Ce Al Se
12 20 48
direct
0.750 0.375 0.125
0.875 0.750 0.125
0.375 0.750 0.625
0.250 0.125 0.375
0.875 0.125 0.250
0.375 0.625 0.250
0.625 0.375 0.750
0.125 0.875 0.750
0.750 0.875 0.625
0.625 0.250 0.375
0.125 0.250 0.875
0.250 0.625 0.875
0.125 0.375 0.250
0.000 0.500 0.000
0.000 0.000 0.000
0.375 0.250 0.125
0.500 0.000 0.500
0.500 0.500 0.000
0.125 0.750 0.375
0.750 0.125 0.875
0.750 0.625 0.375
0.375 0.125 0.750
0.625 0.875 0.250
0.500 0.500 0.500
0.500 0.000 0.000
0.000 0.000 0.500
0.250 0.375 0.625
0.250 0.875 0.125
0.000 0.500 0.500
0.875 0.250 0.625
0.625 0.750 0.875
0.875 0.625 0.750
0.706 0.119 0.028
0.323 0.528 0.409
0.972 0.381 0.294
0.528 0.206 0.119
0.586 0.706 0.677
0.972 0.591 0.177
0.323 0.794 0.414
0.091 0.914 0.119
0.591 0.972 0.677
0.706 0.586 0.177
0.794 0.472 0.381
0.823 0.909 0.028
0.119 0.706 0.528
0.381 0.409 0.086
0.086 0.909 0.381
0.414 0.119 0.591
0.086 0.177 0.206
0.472 0.677 0.091
0.823 0.914 0.294
0.119 0.414 0.091
0.381 0.972 0.794
0.591 0.619 0.414
0.909 0.823 0.528
0.794 0.323 0.914
0.409 0.381 0.586
0.091 0.177 0.472
0.206 0.677 0.086
0.177 0.086 0.706
0.619 0.028 0.206
0.881 0.586 0.909
0.528 0.323 0.909
0.586 0.881 0.409
0.914 0.823 0.794
0.914 0.091 0.619
0.881 0.294 0.472
0.177 0.091 0.972
0.619 0.591 0.914
0.409 0.028 0.323
0.294 0.414 0.823
0.206 0.528 0.619
0.909 0.086 0.881
0.677 0.206 0.586
0.472 0.794 0.881
0.028 0.409 0.823
0.414 0.294 0.323
0.028 0.619 0.706
0.677 0.472 0.591
0.294 0.881 0.972

2.
Ce2AlSe (PBE, relaxed); density of states at the Fermi level = 3.15 states/eV/atom; energy = -5.625 eV per atom; formation energy (no corrections) = -851 meV/atom
1.0
4.045 0.000 0.000
2.022 3.503 0.000
2.022 1.168 7.784
Se Ce Al
1 2 1
direct
0.500 0.500 0.500
0.755 0.755 0.734
0.245 0.245 0.266
0.000 0.000 0.000

3.
Ce5Al2Se12 (PBE, relaxed); density of states at the Fermi level = 1.18 states/eV/atom; energy = -5.606 eV per atom; formation energy (no corrections) = -1450 meV/atom
1.0
-3.551 -6.425 -0.626
7.353 0.644 -4.968
2.912 -2.410 8.216
Ce Al Se
5 2 12
direct
0.301 0.601 0.650
0.313 0.625 0.156
0.000 0.000 0.500
0.687 0.375 0.844
0.699 0.399 0.350
0.749 0.000 0.000
0.251 0.000 0.000
0.998 0.996 0.190
0.085 0.666 0.912
0.581 0.666 0.912
0.100 0.700 0.431
0.600 0.700 0.431
0.497 0.995 0.800
0.503 0.005 0.200
0.900 0.300 0.569
0.400 0.300 0.569
0.915 0.334 0.088
0.419 0.334 0.088
0.002 0.004 0.810

4.
Ce2AlSe4 (PBE, relaxed); density of states at the Fermi level = 2.14 states/eV/atom; energy = -5.622 eV per atom; formation energy (no corrections) = -1400 meV/atom
1.0
6.942 0.000 0.081
0.000 6.859 0.000
-2.460 0.000 7.708
Ce Al Se
4 2 8
direct
0.730 0.750 0.058
0.270 0.250 0.942
0.262 0.250 0.441
0.738 0.750 0.559
0.259 0.750 0.191
0.741 0.250 0.809
0.503 0.492 0.253
0.074 0.750 0.893
0.926 0.250 0.107
0.503 0.008 0.253
0.927 0.250 0.605
0.497 0.992 0.747
0.497 0.508 0.747
0.073 0.750 0.395

5.
Ce6AlSe12 (PBE, relaxed); density of states at the Fermi level = 1.50 states/eV/atom; energy = -5.866 eV per atom; formation energy (no corrections) = -1595 meV/atom
1.0
8.193 -0.485 -0.963
-1.025 8.143 -0.963
-0.454 -0.485 8.237
Ce Al Se
6 1 12
direct
0.132 0.296 0.625
0.704 0.375 0.868
0.375 0.868 0.704
0.868 0.704 0.375
0.296 0.625 0.132
0.625 0.132 0.296
0.000 0.000 0.000
0.432 0.178 0.579
0.178 0.579 0.432
0.579 0.432 0.178
0.568 0.822 0.421
0.822 0.421 0.568
0.421 0.568 0.822
0.034 0.939 0.692
0.308 0.966 0.061
0.061 0.308 0.966
0.966 0.061 0.308
0.692 0.034 0.939
0.939 0.692 0.034

6.
CeAlTl2Se4 (PBE, relaxed); density of states at the Fermi level = 0.70 states/eV/atom; energy = -4.430 eV per atom; formation energy (no corrections) = -887 meV/atom
1.0
8.590 -0.010 -0.298
-0.016 8.591 -0.298
-4.425 -4.429 6.368
Ce Al Tl Se
2 2 4 8
direct
0.000 0.500 0.000
0.000 0.500 0.500
0.500 0.500 0.500
0.000 0.000 0.000
0.500 0.000 0.000
0.500 0.000 0.500
0.000 0.000 0.500
0.500 0.500 0.000
0.202 0.759 0.980
0.741 0.298 0.520
0.259 0.702 0.480
0.798 0.241 0.020
0.758 0.742 0.947
0.758 0.742 0.553
0.242 0.258 0.447
0.242 0.258 0.053

7.
CeAlTlSe4 (PBE, relaxed); density of states at the Fermi level = 0.67 states/eV/atom; energy = -4.795 eV per atom; formation energy (no corrections) = -1083 meV/atom
1.0
6.852 0.000 -0.054
0.000 6.792 0.000
-2.755 0.000 8.698
Ce Al Tl Se
2 2 2 8
direct
0.767 0.750 0.444
0.233 0.250 0.556
0.230 0.750 0.326
0.770 0.250 0.674
0.746 0.750 0.942
0.254 0.250 0.058
0.015 0.512 0.713
0.985 0.012 0.287
0.985 0.488 0.287
0.015 0.988 0.713
0.433 0.750 0.158
0.567 0.250 0.842
0.444 0.750 0.588
0.556 0.250 0.412

8.
Ce3Al9Si2 (PBE, relaxed); density of states at the Fermi level = 1.14 states/eV/atom; energy = -4.773 eV per atom; formation energy (no corrections) = -321 meV/atom
1.0
4.300 0.000 1.155
1.682 7.727 2.321
0.092 0.007 8.241
Ce Al Si
3 9 2
direct
0.000 0.000 0.000
0.683 0.317 0.317
0.317 0.683 0.683
0.000 0.500 0.500
0.662 0.971 0.705
0.338 0.029 0.295
0.662 0.705 0.971
0.338 0.295 0.029
0.867 0.860 0.405
0.133 0.140 0.595
0.867 0.405 0.860
0.133 0.595 0.140
0.500 0.292 0.708
0.500 0.708 0.292

In order of appearance, size of the total moment = 12.05, 1.74, 1.44, 5.26, 3.11, 0.00, 0.31, 1.17 μB per cell.